(1)
Compound: SrCuB2Cl
Source: Alexandria
Functional: meta-GGA SCAN
Structure: single point on PBEsol structure

The size of the total moment comes out at 0.000 μB/f.u. The space group is No. 123. Its formation energy (no corrections) is 0.145 eV/atom. Its total DFT energy (no corrections) is -59.59 eV for the cell shown.

Unit cell a=3.8826 b=3.8826 c=6.1029 alpha=90.00 beta=90.00 gamma=90.00
With the nearest neighbours (Å) after each atom.
Fractional positions:
Sr  0.5000  0.5000  0.5000  4 Cl 2.75
B  0.0000  0.5000  0.0000  2 Cu 1.94
B  0.5000  0.0000  0.0000  2 Cu 1.94
Cu  0.0000  0.0000  0.0000  4 B 1.94
Cl  0.0000  0.0000  0.5000  4 Sr 2.75, 2 Cu 3.05



(2)
Compound: Dy4BClO7
Source: Alexandria
Functional: meta-GGA SCAN
Structure: single point on PBEsol structure

The size of the total moment comes out at 0.000 μB/f.u. The space group is No. 14. Its formation energy (no corrections) is -3.631 eV/atom. Its total DFT energy (no corrections) is -1189.68 eV for the cell shown.

Unit cell a=7.9600 b=8.5255 c=10.7819 alpha=77.18 beta=90.00 gamma=90.00
With the nearest neighbours (Å) after each atom.
Fractional positions:
Dy  0.3757  0.0183  0.7790  6 O 2.20-2.33
Dy  0.1243  0.5183  0.2790  6 O 2.20-2.33
Dy  0.6243  0.9817  0.2210  6 O 2.20-2.33
Dy  0.8757  0.4817  0.7210  6 O 2.20-2.33
Dy  0.3824  0.3330  0.0910  6 O 2.25-2.34
Dy  0.1176  0.8330  0.5910  6 O 2.25-2.34
Dy  0.6176  0.6670  0.9090  6 O 2.25-2.34
Dy  0.8824  0.1670  0.4090  6 O 2.25-2.34
Dy  0.3604  0.1513  0.4204  5 O 2.23-2.30
Dy  0.1396  0.6513  0.9204  5 O 2.23-2.30
Dy  0.6396  0.8487  0.5796  5 O 2.23-2.30
Dy  0.8604  0.3487  0.0796  5 O 2.23-2.30
Dy  0.3862  0.4613  0.7193  5 O 2.19-2.33
Dy  0.1138  0.9613  0.2193  5 O 2.19-2.33
Dy  0.6138  0.5387  0.2807  5 O 2.19-2.33
Dy  0.8862  0.0387  0.7807  5 O 2.19-2.33
B  0.1316  0.2820  0.5863  3 O 1.37-1.38
B  0.3684  0.7820  0.0863  3 O 1.37-1.38
B  0.8684  0.7180  0.4137  3 O 1.37-1.38
B  0.6316  0.2180  0.9137  3 O 1.37-1.38
Cl  0.1517  0.1476  0.9684  3 Dy 2.83-3.09, 3 O 3.12-3.13
Cl  0.3483  0.6476  0.4684  3 Dy 2.83-3.09, 3 O 3.12-3.13
Cl  0.8483  0.8524  0.0316  3 Dy 2.83-3.09, 3 O 3.12-3.13
Cl  0.6517  0.3524  0.5316  3 Dy 2.83-3.09, 3 O 3.12-3.13
O  0.3778  0.9421  0.5965  4 Dy 2.20-2.30
O  0.1222  0.4421  0.0965  4 Dy 2.20-2.30
O  0.6222  0.0579  0.4035  4 Dy 2.20-2.30
O  0.8778  0.5579  0.9035  4 Dy 2.20-2.30
O  0.3624  0.0836  0.2264  4 Dy 2.25-2.30
O  0.1376  0.5836  0.7264  4 Dy 2.25-2.30
O  0.6376  0.9164  0.7736  4 Dy 2.25-2.30
O  0.8624  0.4164  0.2736  4 Dy 2.25-2.30
O  0.3822  0.3970  0.2823  4 Dy 2.20-2.30
O  0.1178  0.8970  0.7823  4 Dy 2.20-2.30
O  0.6178  0.6030  0.7177  4 Dy 2.20-2.30
O  0.8822  0.1030  0.2177  4 Dy 2.20-2.30
O  0.3789  0.5193  0.9073  4 Dy 2.19-2.28
O  0.1211  0.0193  0.4073  4 Dy 2.19-2.28
O  0.6211  0.4807  0.0927  4 Dy 2.19-2.28
O  0.8789  0.9807  0.5927  4 Dy 2.19-2.28
O  0.1102  0.3178  0.4561  1 B 1.38
O  0.3898  0.8178  0.9561  1 B 1.38
O  0.8898  0.6822  0.5439  1 B 1.38
O  0.6102  0.1822  0.0439  1 B 1.38
O  0.9972  0.2693  0.6670  1 B 1.37
O  0.5028  0.7693  0.1670  1 B 1.37
O  0.0028  0.7307  0.3330  1 B 1.37
O  0.4972  0.2307  0.8330  1 B 1.37
O  0.2922  0.2498  0.6326  1 B 1.38
O  0.2078  0.7498  0.1326  1 B 1.38
O  0.7078  0.7502  0.3674  1 B 1.38
O  0.7922  0.2502  0.8674  1 B 1.38



(3)
Compound: Eu2B5ClO9
Source: Alexandria
Functional: meta-GGA SCAN
Structure: single point on PBEsol structure

The size of the total moment comes out at 14.000 μB/f.u. The space group is No. 34. Its formation energy (no corrections) is -2.855 eV/atom. Its total DFT energy (no corrections) is -1028.69 eV for the cell shown.

Unit cell a=6.4924 b=11.2513 c=11.3292 alpha=90.00 beta=90.00 gamma=90.00
With the nearest neighbours (Å) after each atom.
Fractional positions:
Eu  0.3324  0.7573  0.9723  6 O 2.51-2.75
Eu  0.4955  0.5503  0.2476  5 O 2.48-2.67
Eu  0.9955  0.9497  0.7476  5 O 2.48-2.67
Eu  0.9955  0.0503  0.2524  5 O 2.48-2.67
Eu  0.4955  0.4497  0.7524  5 O 2.48-2.67
Eu  0.8324  0.7427  0.4723  6 O 2.51-2.75
Eu  0.8324  0.2573  0.5277  6 O 2.51-2.75
Eu  0.3324  0.2427  0.0277  6 O 2.51-2.75
B  0.1914  0.3280  0.2739  4 O 1.46-1.48
B  0.3382  0.1996  0.6882  4 O 1.46-1.49
B  0.9624  0.5008  0.2543  3 O 1.36-1.37
B  0.2964  0.7656  0.5355  3 O 1.36-1.39
B  0.7964  0.2656  0.9645  3 O 1.36-1.39
B  0.4624  0.0008  0.2457  3 O 1.36-1.37
B  0.9624  0.4992  0.7457  3 O 1.36-1.37
B  0.8382  0.6996  0.8118  4 O 1.46-1.49
B  0.3382  0.8004  0.3118  4 O 1.46-1.49
B  0.8382  0.3004  0.1882  4 O 1.46-1.49
B  0.0221  0.7214  0.2062  4 O 1.45-1.51
B  0.0221  0.2786  0.7938  4 O 1.45-1.51
B  0.4624  0.9992  0.7543  3 O 1.36-1.37
B  0.6914  0.1720  0.7739  4 O 1.46-1.48
B  0.1914  0.6720  0.7261  4 O 1.46-1.48
B  0.5221  0.7786  0.7062  4 O 1.45-1.51
B  0.6914  0.8280  0.2261  4 O 1.46-1.48
B  0.2964  0.2344  0.4645  3 O 1.36-1.39
B  0.7964  0.7344  0.0355  3 O 1.36-1.39
B  0.5221  0.2214  0.2938  4 O 1.45-1.51
Cl  0.8953  0.0000  0.5000  4 Eu 2.93-2.94
Cl  0.1467  0.0000  0.0000  4 Eu 3.00-3.08
Cl  0.6467  0.5000  0.5000  4 Eu 3.00-3.08
Cl  0.3953  0.5000  0.0000  4 Eu 2.93-2.94
O  0.6503  0.0430  0.7854  2 B 1.36-1.48
O  0.1503  0.5430  0.7146  2 B 1.36-1.48
O  0.2327  0.2296  0.5784  2 B 1.36-1.46
O  0.4897  0.2097  0.4242  2 B 1.36-1.50
O  0.4897  0.7903  0.5758  2 B 1.36-1.50
O  0.3088  0.9291  0.2879  2 B 1.37-1.49
O  0.7327  0.7296  0.9216  2 B 1.36-1.46
O  0.4178  0.8807  0.7682  2 B 1.37-1.51
O  0.1421  0.2675  0.3866  2 B 1.39-1.48
O  0.2442  0.2728  0.7815  2 B 1.45-1.47
O  0.6421  0.2325  0.8866  2 B 1.39-1.48
O  0.9178  0.3807  0.7318  2 B 1.37-1.51
O  0.9106  0.1764  0.7458  2 B 1.46
O  0.2442  0.7272  0.2185  2 B 1.45-1.47
O  0.9106  0.8236  0.2542  2 B 1.46
O  0.2327  0.7704  0.4216  2 B 1.36-1.46
O  0.3088  0.0709  0.7121  2 B 1.37-1.49
O  0.8088  0.5709  0.7879  2 B 1.37-1.49
O  0.6503  0.9570  0.2146  2 B 1.36-1.48
O  0.1503  0.4570  0.2854  2 B 1.36-1.48
O  0.5605  0.7734  0.3179  2 B 1.48
O  0.7442  0.7728  0.7185  2 B 1.45-1.47
O  0.9897  0.7097  0.0758  2 B 1.36-1.50
O  0.7327  0.2704  0.0784  2 B 1.36-1.46
O  0.4106  0.3236  0.2458  2 B 1.46
O  0.6421  0.7675  0.1134  2 B 1.39-1.48
O  0.0605  0.2734  0.1821  2 B 1.48
O  0.5605  0.2266  0.6821  2 B 1.48
O  0.4106  0.6764  0.7542  2 B 1.46
O  0.8088  0.4291  0.2121  2 B 1.37-1.49
O  0.0605  0.7266  0.8179  2 B 1.48
O  0.7442  0.2272  0.2815  2 B 1.45-1.47
O  0.1421  0.7325  0.6134  2 B 1.39-1.48
O  0.4178  0.1193  0.2318  2 B 1.37-1.51
O  0.9897  0.2903  0.9242  2 B 1.36-1.50
O  0.9178  0.6193  0.2682  2 B 1.37-1.51



(4)
Compound: BCl3F
Source: Alexandria
Functional: meta-GGA SCAN
Structure: single point on PBEsol structure

The size of the total moment comes out at 1.144 μB/f.u. The space group is No. 221. Its formation energy (no corrections) is 0.325 eV/atom. Its total DFT energy (no corrections) is -33.28 eV for the cell shown.

Unit cell a=4.2141 b=4.2141 c=4.2141 alpha=90.00 beta=90.00 gamma=90.00
With the nearest neighbours (Å) after each atom.
Fractional positions:
B  0.0000  0.0000  0.0000  6 Cl 2.11
F  0.5000  0.5000  0.5000  12 Cl 2.98
Cl  0.0000  0.5000  0.0000  2 B 2.11
Cl  0.0000  0.0000  0.5000  2 B 2.11
Cl  0.5000  0.0000  0.0000  2 B 2.11



(5)
Compound: HgBCl2F
Source: Alexandria
Functional: meta-GGA SCAN
Structure: single point on PBEsol structure

The size of the total moment comes out at 0.000 μB/f.u. The space group is No. 123. Its formation energy (no corrections) is 0.292 eV/atom. Its total DFT energy (no corrections) is -93.63 eV for the cell shown.

Unit cell a=4.3229 b=5.1980 c=5.1980 alpha=90.00 beta=90.00 gamma=90.00
With the nearest neighbours (Å) after each atom.
Fractional positions:
B  0.5000  0.5000  0.5000  8 Cl 3.38, 4 F 3.68
F  0.5000  0.0000  0.0000  2 Hg 2.16
Hg  0.0000  0.0000  0.0000  2 F 2.16
Cl  0.0000  0.0000  0.5000  2 Hg 2.60
Cl  0.0000  0.5000  0.0000  2 Hg 2.60



(6)
Compound: BIrCl2F
Source: Alexandria
Functional: meta-GGA SCAN
Structure: single point on PBEsol structure

The size of the total moment comes out at 2.662 μB/f.u. The space group is No. 123. Its formation energy (no corrections) is 1.286 eV/atom. Its total DFT energy (no corrections) is -91.60 eV for the cell shown.

Unit cell a=3.7016 b=5.1214 c=5.1214 alpha=90.00 beta=90.00 gamma=90.00
With the nearest neighbours (Å) after each atom.
Fractional positions:
F  0.0000  0.0000  0.0000  2 Ir 1.85
Ir  0.5000  0.0000  0.0000  2 F 1.85
B  0.5000  0.5000  0.5000  8 Cl 3.16
Cl  0.0000  0.0000  0.5000  2 F 2.56
Cl  0.0000  0.5000  0.0000  2 F 2.56



(7)
Compound: MgBClF2
Source: Alexandria
Functional: meta-GGA SCAN
Structure: single point on PBEsol structure

The size of the total moment comes out at 0.004 μB/f.u. The space group is No. 123. Its formation energy (no corrections) is 0.019 eV/atom. Its total DFT energy (no corrections) is -27.37 eV for the cell shown.

Unit cell a=3.5255 b=4.8189 c=4.8189 alpha=90.00 beta=90.00 gamma=90.00
With the nearest neighbours (Å) after each atom.
Fractional positions:
Mg  0.5000  0.5000  0.5000  8 F 2.99
F  0.0000  0.0000  0.5000  2 Cl 2.41
F  0.0000  0.5000  0.0000  2 Cl 2.41
B  0.5000  0.0000  0.0000  2 Cl 1.76
Cl  0.0000  0.0000  0.0000  2 B 1.76



(8)
Compound: BP2ClF
Source: Alexandria
Functional: meta-GGA SCAN
Structure: single point on PBEsol structure

The size of the total moment comes out at 0.000 μB/f.u. The space group is No. 123. Its formation energy (no corrections) is 0.648 eV/atom. Its total DFT energy (no corrections) is -36.50 eV for the cell shown.

Unit cell a=4.0086 b=4.0086 c=4.3412 alpha=90.00 beta=90.00 gamma=90.00
With the nearest neighbours (Å) after each atom.
Fractional positions:
P  0.0000  0.5000  0.0000  2 B 2.00
P  0.5000  0.0000  0.0000  2 B 2.00
B  0.0000  0.0000  0.0000  4 P 2.00, 2 Cl 2.17
F  0.5000  0.5000  0.5000  4 Cl 2.83, 8 P 2.95
Cl  0.0000  0.0000  0.5000  2 B 2.17



Please write out number 5 again, unchanged.
Compound: HgBCl2F
Source: Alexandria
Functional: meta-GGA SCAN
Structure: single point on PBEsol structure

The size of the total moment comes out at 0.000 μB/f.u. The space group is No. 123. Its formation energy (no corrections) is 0.292 eV/atom. Its total DFT energy (no corrections) is -93.63 eV for the cell shown.

Unit cell a=4.3229 b=5.1980 c=5.1980 alpha=90.00 beta=90.00 gamma=90.00
With the nearest neighbours (Å) after each atom.
Fractional positions:
B  0.5000  0.5000  0.5000  8 Cl 3.38, 4 F 3.68
F  0.5000  0.0000  0.0000  2 Hg 2.16
Hg  0.0000  0.0000  0.0000  2 F 2.16
Cl  0.0000  0.0000  0.5000  2 Hg 2.60
Cl  0.0000  0.5000  0.0000  2 Hg 2.60



> formation energy (no corrections) of number 2 (Dy4BClO7)?

-3.631 eV/atom



> Number 3 is which compound?

Eu2B5ClO9